No. 1
## Ho2CBr (PBE)

Data for an optimized crystal structure of Ho2CBr.

Properties
Size of the total moment   0.00 μB/f.u.
Uncorrected formation energy   -948 meV per atom
Raw total energy   -5.96 eV/atom
N(E_F)   5.399 states/eV/cell
Volume   82 Å³/f.u.

a b c (Å): 3.6588 3.6588 21.2882
angles (deg): 90.00 90.00 120.00
Closest atoms and distances in Å follow each position.
Space group R3m (No. 160, hexagonal axes)
Unique sites:
Ho: 0.0000 0.0000 0.0000  3 C 2.44
Ho: 0.0000 0.0000 0.2142  3 C 2.49
C: 0.0000 0.0000 0.6090  6 Ho 2.44-2.49
Br: 0.0000 0.0000 0.4397  6 Ho 3.10-3.12

No. 2
## Ho6C2Br3N (PBE)

Data for an optimized crystal structure of Ho6C2Br3N.

Properties
Size of the total moment   0.00 μB/f.u.
Uncorrected formation energy   -1118 meV per atom
Raw total energy   -6.06 eV/atom
N(E_F)   8.277 states/eV/cell
Volume   242 Å³/f.u.

a b c (Å): 6.2986 10.9093 7.3366
angles (deg): 90.00 106.63 90.00
Closest atoms and distances in Å follow each position.
Space group C2/m (No. 12)
Unique sites:
Ho: 0.2247 0.1659 0.1766  1 N 2.43, 2 C 2.44
Ho: 0.2272 0.5000 0.1768  1 N 2.43, 2 C 2.44
C: 0.0000 0.3334 0.0000  6 Ho 2.44
Br: 0.0000 0.1676 0.5000  6 Ho 3.09-3.10
Br: 0.0000 0.5000 0.5000  6 Ho 3.09-3.10
N: 0.0000 0.0000 0.0000  6 Ho 2.43

No. 3
## Nd2HoC2Br2 (PBE)

Data for an optimized crystal structure of Nd2HoC2Br2.

Properties
Size of the total moment   0.00 μB/f.u.
Uncorrected formation energy   -654 meV per atom
Raw total energy   -5.78 eV/atom
N(E_F)   1.919 states/eV/cell
Volume   161 Å³/f.u.

a b c (Å): 4.5371 4.5371 15.6129
angles (deg): 90.00 90.00 90.00
Closest atoms and distances in Å follow each position.
Space group I4/mmm (No. 139)
Unique sites:
Nd: 0.0000 0.0000 0.1002  4 C 2.76
Ho: 0.0000 0.0000 0.5000  4 C 2.27
C: 0.0000 0.5000 0.0000  2 Ho 2.27
Br: 0.0000 0.0000 0.3098  1 Ho 2.97, 1 Nd 3.27